[1]
{
  "formula": "Sr2VHgI",
  "functional": "PBE-GGA",
  "state": "relaxed",
  "cell": [[6.2231, 0.0000, 0.0000], [0.0000, 5.2535, 0.0000], [0.0000, 0.0000, 6.2231]],
  "species": ["Sr", "Sr", "I", "Hg", "V"],
  "fractional_positions": [[0.5000, 0.0000, 0.0000], [0.0000, 0.0000, 0.5000], [0.0000, 0.5000, 0.0000], [0.5000, 0.5000, 0.5000], [0.0000, 0.0000, 0.0000]]
}

[2]
{
  "formula": "Na13Ca7S12O48F3",
  "functional": "PBE-GGA",
  "state": "relaxed",
  "cell": [[-5.6233, -0.2160, 4.1036], [-5.0115, -3.9491, -7.0754], [4.4306, -15.0427, 5.2795]],
  "species": ["Ca", "Ca", "Ca", "Ca", "Ca", "Ca", "Ca", "Na", "Na", "Na", "Na", "Na", "Na", "Na", "Na", "Na", "Na", "Na", "Na", "Na", "O", "O", "O", "O", "O", "O", "O", "O", "O", "O", "O", "O", "O", "O", "O", "O", "O", "O", "O", "O", "O", "O", "O", "O", "O", "O", "O", "O", "O", "O", "O", "O", "O", "O", "O", "O", "O", "O", "O", "O", "O", "O", "O", "O", "O", "O", "O", "O", "S", "S", "S", "S", "S", "S", "S", "S", "S", "S", "S", "S", "F", "F", "F"],
  "fractional_positions": [[0.5000, 0.2509, 0.4986], [0.5000, 0.1256, 0.8794], [0.0000, 0.3778, 0.3743], [0.5000, 0.7600, 0.9979], [0.0000, 0.7348, 0.5035], [0.5000, 0.6129, 0.6205], [0.5000, 0.1216, 0.1251], [0.7575, 0.5058, 0.1681], [0.2405, 0.0039, 0.6694], [0.2467, 0.5004, 0.8306], [0.2524, 0.9920, 0.3322], [0.7595, 0.0039, 0.6694], [0.0000, 0.2944, 0.0061], [0.7533, 0.5004, 0.8306], [0.0000, 0.8705, 0.8565], [0.0000, 0.3672, 0.6219], [0.7476, 0.9920, 0.3322], [0.0000, 0.8589, 0.1334], [0.2425, 0.5058, 0.1681], [0.5000, 0.6240, 0.3797], [0.3285, 0.3024, 0.0422], [0.8278, 0.0935, 0.1637], [0.5000, 0.1648, 0.7385], [0.5000, 0.3859, 0.9222], [0.8275, 0.5898, 0.6591], [0.8283, 0.1973, 0.4592], [0.0000, 0.8122, 0.6551], [0.8278, 0.1977, 0.8767], [0.6715, 0.7909, 0.1275], [0.6711, 0.7953, 0.5390], [0.5000, 0.9228, 0.2317], [0.0000, 0.3183, 0.1621], [0.8283, 0.7275, 0.9661], [0.1717, 0.7275, 0.9661], [0.3279, 0.2809, 0.6295], [0.5000, 0.8085, 0.7145], [0.3289, 0.7953, 0.5390], [0.0000, 0.8369, 0.2705], [0.5000, 0.1831, 0.3426], [0.0000, 0.9755, 0.4476], [0.0000, 0.1726, 0.2837], [0.5000, 0.4219, 0.7302], [0.8275, 0.7098, 0.3751], [0.5000, 0.0161, 0.5573], [0.5000, 0.6897, 0.8462], [0.0000, 0.1014, 0.5764], [0.0000, 0.0817, 0.7661], [0.1722, 0.1977, 0.8767], [0.6715, 0.3024, 0.0422], [0.3288, 0.9124, 0.8284], [0.0000, 0.6689, 0.7788], [0.5000, 0.5252, 0.0471], [0.1717, 0.1973, 0.4592], [0.6721, 0.2809, 0.6295], [0.3270, 0.4049, 0.3323], [0.1722, 0.0935, 0.1637], [0.6712, 0.9124, 0.8284], [0.5000, 0.6641, 0.2332], [0.6730, 0.4049, 0.3323], [0.5000, 0.3167, 0.2153], [0.3285, 0.7909, 0.1275], [0.0000, 0.5788, 0.2705], [0.0000, 0.5096, 0.9389], [0.5000, 0.9027, 0.4249], [0.1725, 0.7098, 0.3751], [0.0000, 0.6071, 0.0754], [0.0000, 0.3376, 0.7771], [0.1725, 0.5898, 0.6591], [0.5000, 0.2882, 0.6830], [0.0000, 0.1153, 0.4878], [0.5000, 0.8795, 0.5128], [0.5000, 0.3808, 0.0124], [0.0000, 0.2028, 0.8224], [0.5000, 0.7916, 0.1823], [0.5000, 0.3256, 0.3055], [0.0000, 0.6412, 0.9878], [0.5000, 0.8281, 0.8038], [0.0000, 0.7087, 0.3212], [0.0000, 0.1724, 0.1929], [0.0000, 0.6671, 0.6892], [0.5000, 0.0042, 0.0008], [0.0000, 0.4987, 0.4906], [0.5000, 0.4862, 0.5061]]
}

[3]
{
  "formula": "Sm2SnPb",
  "functional": "PBE-GGA",
  "state": "relaxed",
  "cell": [[3.5414, 0.0000, 0.0000], [0.0000, 3.5414, 0.0000], [0.0000, 0.0000, 9.1000]],
  "species": ["Sn", "Pb", "Sm", "Sm"],
  "fractional_positions": [[0.5000, 0.5000, 0.0000], [0.5000, 0.5000, 0.5000], [0.0000, 0.0000, 0.2404], [0.0000, 0.0000, 0.7596]],
  "e_form_ev_per_atom": -0.581
}

[4]
{
  "formula": "NpNiTe2",
  "functional": "PBE-GGA",
  "state": "relaxed",
  "cell": [[-2.1180, -2.6645, -0.9763], [1.1866, -2.4775, -2.2344], [2.7432, -6.8032, 6.1942]],
  "species": ["Ni", "Te", "Te", "Np"],
  "fractional_positions": [[0.5000, 0.5000, 0.5000], [0.1107, 0.1107, 0.6679], [0.8893, 0.8893, 0.3321], [0.0000, 0.0000, 0.0000]]
}

[5]
{
  "formula": "LaSm12In3",
  "functional": "PBE-GGA",
  "state": "relaxed",
  "cell": [[-3.5761, -0.0486, -3.4233], [-3.2554, -1.4847, 3.4218], [-4.3545, 19.3964, 4.2733]],
  "species": ["Sm", "Sm", "Sm", "Sm", "Sm", "Sm", "Sm", "Sm", "Sm", "Sm", "Sm", "Sm", "In", "In", "In", "La"],
  "fractional_positions": [[0.0000, 0.5000, 0.1341], [0.5000, 0.5000, 0.2575], [0.0000, 0.5000, 0.8659], [0.5000, 0.5000, 0.7425], [0.0000, 0.5000, 0.3782], [0.5000, 0.5000, 0.5000], [0.0000, 0.5000, 0.6218], [0.5000, 0.0000, 0.8659], [0.5000, 0.0000, 0.3782], [0.5000, 0.5000, 0.0000], [0.5000, 0.0000, 0.1341], [0.5000, 0.0000, 0.6218], [0.0000, 0.0000, 0.7426], [0.0000, 0.0000, 0.2574], [0.0000, 0.0000, 0.5000], [0.0000, 0.0000, 0.0000]],
  "e_form_ev_per_atom": -0.187
}

[6]
{
  "formula": "AcPuRh",
  "functional": "PBE-GGA",
  "state": "relaxed",
  "cell": [[4.3064, 0.0000, 0.0000], [0.0000, 4.3064, 0.0000], [0.0000, 0.0000, 8.6001]],
  "species": ["Rh", "Rh", "Ac", "Ac", "Pu", "Pu"],
  "fractional_positions": [[0.0000, 0.5000, 0.2356], [0.5000, 0.0000, 0.7644], [0.0000, 0.5000, 0.8504], [0.5000, 0.0000, 0.1496], [0.0000, 0.0000, 0.5000], [0.5000, 0.5000, 0.5000]],
  "e_form_ev_per_atom": -0.388
}

[7]
{
  "formula": "MgAg2Pd2",
  "functional": "PBE-GGA",
  "state": "relaxed",
  "cell": [[-1.1746, -2.2728, 2.7776], [3.5842, -0.8928, 0.7852], [1.5306, 3.5139, 6.0898]],
  "species": ["Ag", "Ag", "Mg", "Pd", "Pd"],
  "fractional_positions": [[0.2500, 0.7500, 0.5000], [0.7500, 0.2500, 0.5000], [0.0000, 0.0000, 0.0000], [0.5967, 0.5967, 0.8066], [0.4033, 0.4033, 0.1934]],
  "e_form_ev_per_atom": -0.041
}

[8]
{
  "formula": "Zr",
  "functional": "PBE-GGA",
  "state": "relaxed",
  "cell": [[-3.8424, 3.0035, -1.1591], [-0.8432, -4.3764, 2.2946], [0.4099, 2.2067, 4.3594]],
  "species": ["Zr", "Zr", "Zr", "Zr"],
  "fractional_positions": [[0.0000, 0.0000, 0.7500], [0.6667, 0.3333, 0.7500], [0.0000, 0.0000, 0.2500], [0.3333, 0.6667, 0.2500]],
  "e_form_ev_per_atom": 1.139
}

[9]
{
  "formula": "Pt2W2C",
  "functional": "PBE-GGA",
  "state": "relaxed",
  "cell": [[3.5595, 0.0000, 0.0000], [0.0000, 3.5595, 0.0000], [1.7797, 1.7797, 6.6758]],
  "species": ["W", "W", "C", "Pt", "Pt"],
  "fractional_positions": [[0.7500, 0.2500, 0.5000], [0.2500, 0.7500, 0.5000], [0.0000, 0.0000, 0.0000], [0.5970, 0.5970, 0.8060], [0.4030, 0.4030, 0.1940]],
  "e_form_ev_per_atom": 1.461
}

[10]
{
  "formula": "KTcBr4",
  "functional": "PBE-GGA",
  "state": "relaxed",
  "cell": [[-0.6228, -2.0394, 6.1678], [2.0437, 3.7826, 4.9096], [-4.3434, 2.8438, 3.9543]],
  "species": ["K", "Br", "Br", "Br", "Br", "Tc"],
  "fractional_positions": [[0.7500, 0.7500, 0.7500], [0.3743, 0.8771, 0.3743], [0.8771, 0.3743, 0.3743], [0.3743, 0.3743, 0.8771], [0.3743, 0.3743, 0.3743], [0.0000, 0.0000, 0.0000]]
}

[11]
{
  "formula": "TbHoHg2",
  "functional": "PBE-GGA",
  "state": "relaxed",
  "cell": [[-0.2175, 1.6694, -3.3559], [1.2047, -4.5348, -2.3339], [-5.0911, -1.2120, -0.2730]],
  "species": ["Hg", "Hg", "Ho", "Tb"],
  "fractional_positions": [[0.0000, 0.0000, 0.5000], [0.0000, 0.5000, 0.0000], [0.5000, 0.0000, 0.0000], [0.5000, 0.5000, 0.5000]],
  "e_form_ev_per_atom": -0.480
}

[12]
{
  "formula": "HfPa2Ti",
  "functional": "PBE-GGA",
  "state": "relaxed",
  "cell": [[3.0408, 0.0000, 0.0000], [0.0000, 3.0408, 0.0000], [0.0000, 0.0000, 9.7513]],
  "species": ["Pa", "Pa", "Hf", "Ti"],
  "fractional_positions": [[0.0000, 0.0000, 0.2407], [0.0000, 0.0000, 0.7593], [0.5000, 0.5000, 0.5000], [0.5000, 0.5000, 0.0000]],
  "e_form_ev_per_atom": 0.147
}

Summary of ρ in Mg/m³
4.519; 2.706; 9.117; 8.980; 7.622; 11.951; 7.892; 5.678; 15.114; 3.859; 11.676; 12.679
(order as listed above)
Summary of DFT total energy in eV per cell
-13.08; -497.12; -19.47; -24.27; -72.77; -53.91; -17.89; -29.64; -39.91; -14.77; -11.73; -36.25
(order as listed above)
Summary of density of states at the Fermi level in states/eV/cell
5.06; 0.00; 3.88; 9.01; 23.62; 13.90; 1.51; 7.57; 3.33; 8.89; 4.05; 8.21
(order as listed above)